Record 1
VASP calculation (GGA-PBE) on crystalline Li2Mg2Ag2Au at its relaxed geometry.

Cell and atoms, written as POSCAR:
```
Li2Mg2Ag2Au
1.0
2.281 1.317 6.781
-2.281 1.317 6.781
0.000 -2.634 6.781
Li Mg Ag Au
2 2 2 1
Direct
0.066 0.066 0.066
0.934 0.934 0.934
0.217 0.217 0.217
0.783 0.783 0.783
0.359 0.359 0.359
0.641 0.641 0.641
0.500 0.500 0.500
```

## Properties
Crystal system   trigonal

=====

Record 2
VASP calculation (GGA-PBE) on crystalline RbNa3Cu at its relaxed geometry.

Cell and atoms, written as POSCAR:
```
RbNa3Cu
1.0
5.803 0.000 0.000
0.000 5.803 0.000
0.000 0.000 5.803
Rb Na Cu
1 3 1
Direct
0.000 0.000 0.000
0.000 0.500 0.500
0.500 0.000 0.500
0.500 0.500 0.000
0.500 0.500 0.500
```

## Properties
Crystal system   cubic
Polymorph energy (0 for the lowest one)   0 meV/atom

=====

no.,E_tot (eV/atom),energy of formation from the pure elements (meV per atom)
1,-2.6093,-324
2,-1.6072,197